1.
A geometry-optimized MgAgHg structure, computed with PBE-GGA.

N(E_F) = 0.88 states/eV/f.u.
Calculated formation energy = -121 meV per atom
Symmetry = I4mm, No. 107

a = 6.375 Å, b = 6.375 Å, c = 6.375 Å
α = 151.17°, β = 151.17°, γ = 41.23°
Sites, in units of the cell vectors:
Mg1 0.000 0.000 0.000
Ag1 0.653 0.653 0.000
Hg1 0.329 0.329 0.000

=====

2.
A geometry-optimized BeAlV2Sn structure, computed with PBE-GGA.

N(E_F) = 5.78 states/eV/f.u.
Calculated formation energy = 1520 meV per atom
Symmetry = P4/mmm, No. 123

a = 4.521 Å, b = 4.521 Å, c = 4.880 Å
α = 90.00°, β = 90.00°, γ = 90.00°
Sites, in units of the cell vectors:
Be1 0.000 0.000 0.000
Al1 0.500 0.500 0.500
V1 0.000 0.500 0.500
V2 0.500 0.000 0.500
Sn1 0.500 0.500 0.000

=====

3.
A geometry-optimized Na2AlBi2 structure, computed with PBE-GGA.

N(E_F) = 0.24 states/eV/f.u.
Calculated formation energy = -194 meV per atom
Symmetry = P-1, No. 2

a = 6.398 Å, b = 6.602 Å, c = 8.064 Å
α = 66.49°, β = 78.12°, γ = 79.60°
Sites, in units of the cell vectors:
Na1 0.080 0.434 0.253
Na2 0.385 0.787 0.452
Na3 0.615 0.213 0.548
Na4 0.920 0.566 0.747
Al1 0.252 0.972 0.026
Al2 0.748 0.028 0.974
Bi1 0.110 0.073 0.693
Bi2 0.415 0.398 0.881
Bi3 0.585 0.602 0.119
Bi4 0.890 0.927 0.307

=====

4.
A geometry-optimized MgTaPb4 structure, computed with PBE-GGA.

N(E_F) = 5.32 states/eV/f.u.
Calculated formation energy = 831 meV per atom
Symmetry = F-43m, No. 216

a = 6.303 Å, b = 6.303 Å, c = 6.303 Å
α = 60.00°, β = 60.00°, γ = 60.00°
Sites, in units of the cell vectors:
Mg1 0.000 0.000 0.000
Ta1 0.250 0.250 0.250
Pb1 0.127 0.624 0.624
Pb2 0.624 0.127 0.624
Pb3 0.624 0.624 0.127
Pb4 0.624 0.624 0.624

=====

5.
A geometry-optimized Ta2P4H structure, computed with PBE-GGA.

Uncorrected energy = -49.54 eV per formula unit
N(E_F) = 2.84 states/eV/f.u.
Symmetry = I4/mmm, No. 139

a = 7.986 Å, b = 7.986 Å, c = 7.986 Å
α = 154.48°, β = 154.48°, γ = 36.41°
Sites, in units of the cell vectors:
Ta1 0.134 0.134 0.000
Ta2 0.866 0.866 0.000
P1 0.000 0.500 0.500
P2 0.304 0.304 0.000
P3 0.500 0.000 0.500
P4 0.696 0.696 0.000
H1 0.500 0.500 0.000

=====

6.
A geometry-optimized GaC structure, computed with PBE-GGA.

N(E_F) = 0.46 states/eV/f.u.
Calculated formation energy = 240 meV per atom
Symmetry = P1, No. 1

a = 2.565 Å, b = 2.565 Å, c = 11.143 Å
α = 86.90°, β = 83.67°, γ = 60.01°
Sites, in units of the cell vectors:
Ga1 0.000 0.000 0.000
Ga2 0.118 0.999 0.754
C1 0.031 0.143 0.377
C2 0.698 0.810 0.377

=====

7.
A geometry-optimized BaTl2CuPb structure, computed with PBE-GGA.

N(E_F) = 2.22 states/eV/f.u.
Calculated formation energy = -89 meV per atom
Symmetry = P4/mmm, No. 123

a = 5.372 Å, b = 5.372 Å, c = 5.426 Å
α = 90.00°, β = 90.00°, γ = 90.00°
Sites, in units of the cell vectors:
Ba1 0.000 0.000 0.000
Tl1 0.000 0.500 0.500
Tl2 0.500 0.000 0.500
Cu1 0.500 0.500 0.500
Pb1 0.500 0.500 0.000

=====

8.
A geometry-optimized HfGaCuPt structure, computed with PBE-GGA.

N(E_F) = 1.98 states/eV/f.u.
Calculated formation energy = -639 meV per atom
Symmetry = F-43m, No. 216

a = 4.489 Å, b = 4.489 Å, c = 4.489 Å
α = 60.00°, β = 60.00°, γ = 60.00°
Sites, in units of the cell vectors:
Hf1 0.000 0.000 0.000
Ga1 0.500 0.500 0.500
Cu1 0.750 0.750 0.750
Pt1 0.250 0.250 0.250

=====

9.
A geometry-optimized HfNi2Sn structure, computed with PBE-GGA.

N(E_F) = 1.57 states/eV/f.u.
Calculated formation energy = -372 meV per atom
Symmetry = P4/mmm, No. 123

a = 3.303 Å, b = 3.303 Å, c = 6.024 Å
α = 90.00°, β = 90.00°, γ = 90.00°
Sites, in units of the cell vectors:
Hf1 0.000 0.000 0.000
Ni1 0.500 0.500 0.220
Ni2 0.500 0.500 0.780
Sn1 0.000 0.000 0.500

=====

10.
A geometry-optimized Co3Cu structure, computed with PBE-GGA.

N(E_F) = 5.11 states/eV/f.u.
Calculated formation energy = 120 meV per atom
Symmetry = I4/mmm, No. 139

a = 7.549 Å, b = 7.549 Å, c = 7.549 Å
α = 152.84°, β = 152.84°, γ = 38.78°
Sites, in units of the cell vectors:
Co1 0.000 0.500 0.500
Co2 0.127 0.127 0.000
Co3 0.250 0.750 0.500
Co4 0.500 0.000 0.500
Co5 0.750 0.250 0.500
Co6 0.873 0.873 0.000
Cu1 0.376 0.376 0.000
Cu2 0.624 0.624 0.000

=====

11.
A geometry-optimized TaAlRu structure, computed with PBE-GGA.

N(E_F) = 3.30 states/eV/f.u.
Calculated formation energy = 380 meV per atom
Symmetry = F-43m, No. 216

a = 4.308 Å, b = 4.308 Å, c = 4.308 Å
α = 60.00°, β = 60.00°, γ = 60.00°
Sites, in units of the cell vectors:
Ta1 0.000 0.000 0.000
Al1 0.250 0.250 0.250
Ru1 0.750 0.750 0.750

=====

12.
A geometry-optimized YHoN structure, computed with PBE-GGA.

N(E_F) = 1.97 states/eV/f.u.
Formation energy (no corrections) = -1.091 eV/atom
Symmetry = P-6m2, No. 187

a = 3.493 Å, b = 3.493 Å, c = 11.766 Å
α = 90.00°, β = 90.00°, γ = 120.00°
Sites, in units of the cell vectors:
Y1 0.000 0.000 0.000
Y2 0.333 0.667 0.500
Ho1 0.667 0.333 0.231
Ho2 0.667 0.333 0.769
N1 0.333 0.667 0.132
N2 0.333 0.667 0.868

=====

13.
A geometry-optimized Pr5CdIn2Ir2 structure, computed with PBE-GGA.

N(E_F) = 7.10 states/eV/f.u.
Calculated formation energy = -442 meV per atom
Symmetry = P4/mbm, No. 127

a = 12.234 Å, b = 12.234 Å, c = 3.871 Å
α = 90.00°, β = 90.00°, γ = 90.00°
Sites, in units of the cell vectors:
Pr1 0.000 0.500 0.000
Pr2 0.073 0.208 0.000
Pr3 0.208 0.927 0.000
Pr4 0.292 0.427 0.000
Pr5 0.427 0.708 0.000
Pr6 0.500 0.000 0.000
Pr7 0.573 0.292 0.000
Pr8 0.708 0.573 0.000
Pr9 0.792 0.073 0.000
Pr10 0.927 0.792 0.000
Cd1 0.000 0.000 0.500
Cd2 0.500 0.500 0.500
In1 0.179 0.679 0.500
In2 0.321 0.179 0.500
In3 0.679 0.821 0.500
In4 0.821 0.321 0.500
Ir1 0.132 0.368 0.500
Ir2 0.368 0.868 0.500
Ir3 0.632 0.132 0.500
Ir4 0.868 0.632 0.500

=====

14.
A geometry-optimized CdCu2Br structure, computed with PBE-GGA.

N(E_F) = 1.11 states/eV/f.u.
Formation energy (no corrections) = 0.051 eV/atom
Symmetry = Cm, No. 8

a = 4.172 Å, b = 4.172 Å, c = 5.949 Å
α = 93.47°, β = 93.47°, γ = 59.80°
Sites, in units of the cell vectors:
Cd1 0.000 0.000 0.000
Cu1 0.342 0.342 0.203
Cu2 0.677 0.677 0.249
Br1 0.691 0.691 0.655

=====

15.
A geometry-optimized Ta4Mo3 structure, computed with PBE-GGA.

N(E_F) = 7.69 states/eV/f.u.
Calculated formation energy = -63 meV per atom
Symmetry = Fmm2, No. 42

a = 16.129 Å, b = 16.046 Å, c = 2.820 Å
α = 86.65°, β = 83.30°, γ = 10.05°
Sites, in units of the cell vectors:
Ta1 0.000 0.000 0.000
Ta2 0.141 0.141 0.859
Ta3 0.425 0.425 0.575
Ta4 0.849 0.849 0.151
Mo1 0.279 0.279 0.721
Mo2 0.570 0.570 0.430
Mo3 0.712 0.712 0.288

=====

16.
A geometry-optimized Be2AlZn2Pt5 structure, computed with PBE-GGA.

N(E_F) = 3.19 states/eV/f.u.
Calculated formation energy = -634 meV per atom
Symmetry = P4/mbm, No. 127

a = 9.114 Å, b = 9.114 Å, c = 3.370 Å
α = 90.00°, β = 90.00°, γ = 90.00°
Sites, in units of the cell vectors:
Be1 0.125 0.375 0.000
Be2 0.375 0.875 0.000
Be3 0.625 0.125 0.000
Be4 0.875 0.625 0.000
Al1 0.000 0.000 0.000
Al2 0.500 0.500 0.000
Zn1 0.171 0.671 0.000
Zn2 0.329 0.171 0.000
Zn3 0.671 0.829 0.000
Zn4 0.829 0.329 0.000
Pt1 0.000 0.500 0.500
Pt2 0.083 0.201 0.500
Pt3 0.201 0.917 0.500
Pt4 0.299 0.417 0.500
Pt5 0.417 0.701 0.500
Pt6 0.500 0.000 0.500
Pt7 0.583 0.299 0.500
Pt8 0.701 0.583 0.500
Pt9 0.799 0.083 0.500
Pt10 0.917 0.799 0.500

=====

17.
A geometry-optimized Tc2AgHg structure, computed with PBE-GGA.

N(E_F) = 5.47 states/eV/f.u.
Calculated formation energy = 740 meV per atom
Symmetry = P4/mmm, No. 123

a = 2.714 Å, b = 2.714 Å, c = 9.123 Å
α = 90.00°, β = 90.00°, γ = 90.00°
Sites, in units of the cell vectors:
Tc1 0.000 0.000 0.244
Tc2 0.000 0.000 0.756
Ag1 0.500 0.500 0.000
Hg1 0.500 0.500 0.500

=====

18.
A geometry-optimized RbBaO2 structure, computed with PBE-GGA.

N(E_F) = 4.90 states/eV/f.u.
Formation energy (no corrections) = -1.489 eV/atom
Symmetry = I-42d, No. 122

a = 7.426 Å, b = 7.426 Å, c = 7.426 Å
α = 129.67°, β = 129.67°, γ = 73.94°
Sites, in units of the cell vectors:
Rb1 0.000 0.000 0.000
Rb2 0.750 0.250 0.500
Ba1 0.250 0.750 0.500
Ba2 0.500 0.500 0.000
O1 0.172 0.625 0.047
O2 0.375 0.422 0.547
O3 0.578 0.125 0.953
O4 0.875 0.828 0.453

=====

19.
A geometry-optimized PrPu5Pd6 structure, computed with PBE-GGA.

N(E_F) = 47.41 states/eV/f.u.
Calculated formation energy = -445 meV per atom
Symmetry = C2/m, No. 12

a = 8.590 Å, b = 8.590 Å, c = 5.028 Å
α = 106.87°, β = 106.87°, γ = 48.96°
Sites, in units of the cell vectors:
Pr1 0.000 0.000 0.000
Pu1 0.172 0.172 0.627
Pu2 0.336 0.336 0.384
Pu3 0.500 0.500 0.000
Pu4 0.664 0.664 0.616
Pu5 0.828 0.828 0.373
Pd1 0.081 0.582 0.894
Pd2 0.248 0.752 0.500
Pd3 0.418 0.919 0.106
Pd4 0.582 0.081 0.894
Pd5 0.752 0.248 0.500
Pd6 0.919 0.418 0.106

=====

20.
A geometry-optimized Rb2LiAlCl6 structure, computed with PBE-GGA.

N(E_F) = 0.00 states/eV/f.u.
Formation energy (no corrections) = -1.799 eV/atom
Symmetry = P-3m1, No. 164

a = 7.136 Å, b = 7.136 Å, c = 6.124 Å
α = 90.00°, β = 90.00°, γ = 120.00°
Sites, in units of the cell vectors:
Rb1 0.333 0.667 0.222
Rb2 0.667 0.333 0.778
Li1 0.000 0.000 0.500
Al1 0.000 0.000 0.000
Cl1 0.154 0.308 0.774
Cl2 0.154 0.846 0.774
Cl3 0.308 0.154 0.226
Cl4 0.692 0.846 0.774
Cl5 0.846 0.154 0.226
Cl6 0.846 0.692 0.226